The following is a DFT calculation (PBE-GGA) of an optimized crystal structure of Al3GaP.

a b c (Å): 4.7114 4.7114 4.7114
angles (deg): 90.00 90.00 90.00
Sites, in units of the cell vectors:
Al1 0.0000 0.0000 0.5000
Al2 0.0000 0.5000 0.0000
Al3 0.5000 0.0000 0.0000
Ga1 0.5000 0.5000 0.5000
P1 0.0000 0.0000 0.0000

Calculated values
Distance to the lowest polymorph of the same formula in eV per atom: 0.000
ΔH_f (0 K) in eV/atom: 0.407
N(E_F) in states/eV/f.u.: 2.91
Energy in eV/atom: -3.53

---

The following is a DFT calculation (PBE-GGA) of an optimized crystal structure of CdHg2Bi2.

a b c (Å): 8.3868 8.3868 8.3868
angles (deg): 148.62 148.62 44.98
Sites, in units of the cell vectors:
Cd1 0.0000 0.0000 0.0000
Hg1 0.4076 0.4076 0.0000
Hg2 0.5924 0.5924 0.0000
Bi1 0.2500 0.7500 0.5000
Bi2 0.7500 0.2500 0.5000

Calculated values
Distance to the lowest polymorph of the same formula in eV per atom: 0.111
ΔH_f (0 K) in eV/atom: 0.166
N(E_F) in states/eV/f.u.: 1.97
Energy in eV/atom: -1.69

---

The following is a DFT calculation (PBE-GGA) of an optimized crystal structure of TlHg2Br2.

a b c (Å): 8.4778 8.4778 4.5657
angles (deg): 90.00 90.00 90.00
Sites, in units of the cell vectors:
Tl1 0.0000 0.0000 0.0000
Tl2 0.5000 0.5000 0.0000
Hg1 0.1151 0.3849 0.0000
Hg2 0.3849 0.8849 0.0000
Hg3 0.6151 0.1151 0.0000
Hg4 0.8849 0.6151 0.0000
Br1 0.2221 0.7221 0.5000
Br2 0.2779 0.2221 0.5000
Br3 0.7221 0.7779 0.5000
Br4 0.7779 0.2779 0.5000

Calculated values
Distance to the lowest polymorph of the same formula in eV per atom: 0.080
N(E_F) in states/eV/f.u.: 4.15
Formation energy without anion corrections in eV/atom: -0.2947
Energy in eV/atom: -1.56

---

Among the records above, which one has the lowest distance to the lowest polymorph of the same formula? Al3GaP